Entry 1:
Compound: ErAgPb2S4
Source: the Alexandria database
Functional: GGA-PBE
Structure: relaxed

Cell lengths 6.9881, 4.0585, 7.1690 Å; angles 90.00, 109.29, 90.00 degrees
Space group P2/m (No. 10)
One atom of each set of equivalent atoms:
Er1 0.0000 0.0000 0.0000 [1 per cell]
Ag1 0.5000 0.5000 0.0000 [1 per cell]
Pb1 0.0000 0.5000 0.5000 [1 per cell]
Pb2 0.5000 0.0000 0.5000 [1 per cell]
S1 0.2323 0.5000 0.2259 [2 per cell]
S2 0.2510 0.0000 0.7748 [2 per cell]

## Properties
As for the formation energy from raw total energies: -0.866 eV per atom. The calculated total energy comes out at -38.26 eV per formula unit. For the total magnetization, the calculation gives 0.0 μB/cell.

Entry 2:
Compound: SrRh2Pb
Source: the Alexandria database
Functional: GGA-PBE
Structure: relaxed

Cell lengths 3.4652, 3.4799, 7.4580 Å; angles 90.00, 90.00, 90.00 degrees
Space group Pmm2 (No. 25)
One atom of each set of equivalent atoms:
Sr1 0.0000 0.0000 0.0000 [1 per cell]
Rh1 0.0000 0.0000 0.4220 [1 per cell]
Rh2 0.5000 0.5000 0.2707 [1 per cell]
Pb1 0.5000 0.5000 0.6445 [1 per cell]

## Properties
The value obtained for the energy of formation is 0.010 eV per atom. The calculated total energy comes out at -20.05 eV per formula unit. For the total magnetization, the calculation gives 0.0 μB/cell.

Entry 3:
Compound: Si3H
Source: the Alexandria database
Functional: GGA-PBE
Structure: relaxed

Cell lengths 5.7935, 5.7935, 5.7935 Å; angles 90.00, 90.00, 90.00 degrees
Space group Fm-3m (No. 225)
One atom of each set of equivalent atoms:
Si1 0.0000 0.0000 0.0000 [4 per cell]
Si2 0.2500 0.2500 0.2500 [8 per cell]
H1 0.0000 0.0000 0.5000 [4 per cell]

## Properties
The calculated total energy comes out at -17.27 eV per formula unit. For the total magnetization, the calculation gives 0.0 μB/cell.

Entry 4:
Compound: Li4TbSn5
Source: the Alexandria database
Functional: GGA-PBE
Structure: relaxed

Cell lengths 3.5005, 3.5005, 17.7527 Å; angles 90.00, 90.00, 90.00 degrees
Space group P4/mmm (No. 123)
One atom of each set of equivalent atoms:
Li1 0.0000 0.0000 0.0953 [2 per cell]
Li2 0.0000 0.0000 0.2832 [2 per cell]
Tb1 0.0000 0.0000 0.5000 [1 per cell]
Sn1 0.5000 0.5000 0.0000 [1 per cell]
Sn2 0.5000 0.5000 0.1900 [2 per cell]
Sn3 0.5000 0.5000 0.3780 [2 per cell]

## Properties
The value obtained for the energy of formation is -0.374 eV per atom. The calculated total energy comes out at -36.04 eV per formula unit. For the total magnetization, the calculation gives 0.0 μB/cell.

Entry 5:
Compound: Ba2GaNi
Source: the Alexandria database
Functional: GGA-PBE
Structure: relaxed

Cell lengths 7.6368, 4.4039, 9.0547 Å; angles 90.00, 105.93, 90.00 degrees
Space group Cm (No. 8)
One atom of each set of equivalent atoms:
Ba1 0.0000 0.0000 0.0000 [2 per cell]
Ba2 0.1618 0.0000 0.4983 [2 per cell]
Ga1 0.2477 0.5000 0.2491 [2 per cell]
Ni1 0.4141 0.0000 0.2490 [2 per cell]

## Properties
The value obtained for the energy of formation is -0.245 eV per atom. The calculated total energy comes out at -13.64 eV per formula unit. For the total magnetization, the calculation gives 0.0 μB/cell.

Entry 6:
Compound: CaPmHo2Hg4
Source: the Alexandria database
Functional: GGA-PBE
Structure: relaxed

Cell lengths 5.2922, 5.2922, 26.0135 Å; angles 90.00, 90.00, 120.00 degrees
Space group R-3m (No. 166, hexagonal axes)
One atom of each set of equivalent atoms:
Ca1 0.0000 0.0000 0.0000 [3 per cell]
Pm1 0.0000 0.0000 0.5000 [3 per cell]
Ho1 0.0000 0.0000 0.2520 [6 per cell]
Hg1 0.0000 0.0000 0.1246 [6 per cell]
Hg2 0.0000 0.0000 0.3752 [6 per cell]

## Properties
The value obtained for the energy of formation is -0.499 eV per atom. The calculated total energy comes out at -21.10 eV per formula unit. For the total magnetization, the calculation gives 0.0 μB/cell.

Entry 7:
Compound: NaMgPCl2
Source: the Alexandria database
Functional: GGA-PBE
Structure: relaxed

Cell lengths 5.1008, 5.1008, 5.1169 Å; angles 90.00, 90.00, 90.00 degrees
Space group P4/mmm (No. 123)
One atom of each set of equivalent atoms:
Na1 0.0000 0.0000 0.0000 [1 per cell]
Mg1 0.5000 0.5000 0.5000 [1 per cell]
P1 0.5000 0.5000 0.0000 [1 per cell]
Cl1 0.0000 0.5000 0.5000 [2 per cell]

## Properties
As for the formation energy from raw total energies: -0.753 eV per atom. The calculated total energy comes out at -15.78 eV per formula unit. For the total magnetization, the calculation gives 2.0 μB/cell.

Entry 8:
Compound: Ce2Zn2Sn
Source: the Alexandria database
Functional: GGA-PBE
Structure: relaxed

Cell lengths 10.8698, 4.7053, 9.7796 Å; angles 90.00, 109.77, 90.00 degrees
Space group C2/m (No. 12)
One atom of each set of equivalent atoms:
Ce1 0.0719 0.0000 0.3587 [4 per cell]
Ce2 0.1835 0.0000 0.0486 [4 per cell]
Zn1 0.0056 0.5000 0.8689 [4 per cell]
Zn2 0.1073 0.5000 0.6119 [4 per cell]
Sn1 0.2451 0.0000 0.7041 [4 per cell]

## Properties
The value obtained for the energy of formation is -0.355 eV per atom. The calculated total energy comes out at -20.19 eV per formula unit. For the total magnetization, the calculation gives 7.2 μB/cell.